[1]
VASP calculation (PBE-GGA) on a relaxed Y2Zn2Cl crystal.

Cell lengths 7.345, 7.345, 4.560 Å; angles 90.00, 90.00, 90.00 degrees
Atoms (fractional coordinates):
Zn1 0.877 0.377 0.500
Zn2 0.377 0.123 0.500
Zn3 0.623 0.877 0.500
Zn4 0.123 0.623 0.500
Cl1 0.000 0.000 0.000
Cl2 0.500 0.500 0.000
Y1 0.332 0.832 0.000
Y2 0.832 0.668 0.000
Y3 0.668 0.168 0.000
Y4 0.168 0.332 0.000

Summary:
The crystal system is tetragonal. As for the space group: P4/mbm. The total magnetic moment comes out at 0.0 Bohr magnetons per cell. The value obtained for the density of states at the Fermi level is 8.85 states/eV/cell. The formation energy without anion corrections comes out at -0.65 eV per atom.

[2]
VASP calculation (PBE-GGA) on a relaxed Pm2Mg5Zn12 crystal.

Cell lengths 7.077, 7.077, 7.077 Å; angles 82.30, 82.30, 82.30 degrees
Atoms (fractional coordinates):
Mg1 0.000 0.000 0.500
Mg2 0.899 0.899 0.899
Mg3 0.500 0.000 0.000
Mg4 0.101 0.101 0.101
Mg5 0.000 0.500 0.000
Zn1 0.705 0.000 0.295
Zn2 0.643 0.643 0.166
Zn3 0.295 0.000 0.705
Zn4 0.000 0.295 0.705
Zn5 0.705 0.295 0.000
Zn6 0.357 0.357 0.834
Zn7 0.166 0.643 0.643
Zn8 0.834 0.357 0.357
Zn9 0.295 0.705 0.000
Zn10 0.000 0.705 0.295
Zn11 0.357 0.834 0.357
Zn12 0.643 0.166 0.643
Pm1 0.342 0.342 0.342
Pm2 0.658 0.658 0.658

Summary:
The crystal system is trigonal. For the formation energy, the calculation gives -0.199 eV/atom. As for the space group: R-3m. The total magnetic moment comes out at 0.0 Bohr magnetons per cell. The value obtained for the density of states at the Fermi level is 4.32 states/eV/cell.

[3]
VASP calculation (PBE-GGA) on a relaxed Rb2PbCl crystal.

Cell lengths 9.223, 9.223, 8.041 Å; angles 55.01, 55.01, 90.00 degrees
Each line ends with the local moment (μB).
Atoms (fractional coordinates):
Rb1 0.375 0.437 0.750  0.00
Rb2 0.875 0.813 0.750  0.00
Rb3 0.187 0.625 0.250  0.00
Rb4 0.563 0.125 0.250  0.00
Cl1 0.500 0.500 0.000  0.01
Cl2 0.250 0.750 0.500  0.01
Pb1 0.750 0.250 0.500  0.12
Pb2 0.000 0.000 0.000  0.12

Summary:
The crystal system is tetragonal. As for the space group: I-42d. Its energy relative to the lowest polymorph listed for this composition is 0.271 eV per atom. The total magnetic moment comes out at 0.9 Bohr magnetons per cell. The value obtained for the density of states at the Fermi level is 7.75 states/eV/cell. The formation energy without anion corrections comes out at -0.62 eV per atom.

[4]
VASP calculation (PBE-GGA) on a relaxed Ce2ZnGe3Au4 crystal.

Cell lengths 4.376, 4.376, 10.842 Å; angles 90.00, 90.00, 90.00 degrees
Each line ends with the local moment (μB).
Atoms (fractional coordinates):
Ce1 0.500 0.000 0.243  0.76
Ce2 0.000 0.500 0.757  0.76
Au1 0.000 0.000 0.000  -0.01
Au2 0.500 0.500 0.000  -0.01
Au3 0.000 0.500 0.368  -0.01
Au4 0.500 0.000 0.632  -0.01
Ge1 0.000 0.000 0.500  -0.01
Ge2 0.500 0.000 0.862  -0.01
Ge3 0.000 0.500 0.138  -0.01
Zn1 0.500 0.500 0.500  0.00

Summary:
The crystal system is tetragonal. For the formation energy, the calculation gives -0.521 eV/atom. As for the space group: P-4m2. The total magnetic moment comes out at 1.6 Bohr magnetons per cell. The value obtained for the density of states at the Fermi level is 14.06 states/eV/cell.

[5]
VASP calculation (PBE-GGA) on a relaxed CaPa2GeO8 crystal.

Cell lengths 4.890, 4.890, 7.018 Å; angles 90.00, 90.00, 88.86 degrees
Atoms (fractional coordinates):
O1 0.293 0.293 0.000
O2 0.189 0.811 0.205
O3 0.189 0.811 0.795
O4 0.811 0.189 0.795
O5 0.707 0.707 0.000
O6 0.680 0.680 0.500
O7 0.320 0.320 0.500
O8 0.811 0.189 0.205
Ge1 0.000 0.000 0.000
Ca1 0.000 0.000 0.500
Pa1 0.500 0.500 0.244
Pa2 0.500 0.500 0.756

Summary:
The crystal system is orthorhombic. As for the space group: Cmmm. The total magnetic moment comes out at 0.0 Bohr magnetons per cell. The value obtained for the density of states at the Fermi level is 0.00 states/eV/cell. The formation energy without anion corrections comes out at -2.97 eV per atom.

[6]
VASP calculation (PBE-GGA) on a relaxed Tl2AuCl crystal.

Cell lengths 5.354, 5.354, 5.354 Å; angles 60.00, 60.00, 60.00 degrees
Atoms (fractional coordinates):
Au1 0.500 0.500 0.500
Tl1 0.250 0.250 0.250
Tl2 0.750 0.750 0.750
Cl1 0.000 0.000 0.000

Summary:
The crystal system is cubic. As for the space group: Fm-3m. Its energy relative to the lowest polymorph listed for this composition is 0.084 eV per atom. The total magnetic moment comes out at 0.0 Bohr magnetons per cell. The value obtained for the density of states at the Fermi level is 0.36 states/eV/cell. The formation energy without anion corrections comes out at -0.38 eV per atom.

[7]
VASP calculation (PBE-GGA) on a relaxed CaPm2DyTe4 crystal.

Cell lengths 4.402, 7.669, 7.757 Å; angles 108.90, 90.00, 90.00 degrees
Atoms (fractional coordinates):
Pm1 0.500 0.000 0.500
Pm2 0.000 0.500 0.500
Te1 0.500 0.750 0.757
Te2 0.000 0.254 0.759
Te3 0.500 0.250 0.243
Te4 0.000 0.746 0.241
Dy1 0.500 0.500 0.000
Ca1 0.000 0.000 0.000

Summary:
The crystal system is monoclinic. As for the space group: P2/m. The total magnetic moment comes out at 0.0 Bohr magnetons per cell. The value obtained for the density of states at the Fermi level is 3.71 states/eV/cell. The formation energy without anion corrections comes out at -1.42 eV per atom.

[8]
VASP calculation (PBE-GGA) on a relaxed MnBe2Re crystal.

Cell lengths 7.931, 7.931, 7.931 Å; angles 19.01, 19.01, 19.01 degrees
Each line ends with the local moment (μB).
Atoms (fractional coordinates):
Re1 0.750 0.750 0.750  0.09
Be1 0.997 0.997 0.997  -0.03
Be2 0.503 0.503 0.503  -0.03
Mn1 0.250 0.250 0.250  1.63

Summary:
The crystal system is trigonal. For the formation energy, the calculation gives 0.230 eV/atom. As for the space group: R-3m. Its energy relative to the lowest polymorph listed for this composition is 0.345 eV per atom. The total magnetic moment comes out at 1.7 Bohr magnetons per cell. The value obtained for the density of states at the Fermi level is 3.35 states/eV/cell.